(1)
NaLiPdF5: relaxed, PBE-GGA.

abc: 5.660 5.660 8.250
angles: 106.43 106.43 104.51
Positions (direct):
Na 0.331 0.669 0.250
Na 0.669 0.331 0.750
Li 0.699 0.301 0.250
Li 0.301 0.699 0.750
Pd 0.000 0.000 0.500
Pd 0.000 0.000 0.000
F 0.069 0.931 0.250
F 0.931 0.069 0.750
F 0.909 0.312 0.107
F 0.091 0.688 0.893
F 0.688 0.091 0.393
F 0.312 0.909 0.607
F 0.746 0.636 0.412
F 0.254 0.364 0.588
F 0.364 0.254 0.088
F 0.636 0.746 0.912

(2)
NaLi2PdF8: relaxed, PBE-GGA.

abc: 4.790 4.665 6.676
angles: 89.99 90.00 90.79
Positions (direct):
Na 0.000 0.000 0.500
Li 0.500 0.500 0.771
Li 0.500 0.500 0.229
Pd 0.000 0.000 0.000
F 0.177 0.786 0.216
F 0.688 0.725 0.000
F 0.823 0.214 0.216
F 0.823 0.214 0.784
F 0.312 0.275 0.000
F 0.177 0.786 0.784
F 0.608 0.681 0.500
F 0.392 0.319 0.500

(3)
NaLiPd2F6: relaxed, PBE-GGA.

abc: 5.518 5.518 5.984
angles: 62.53 62.53 59.98
Positions (direct):
Na 0.807 0.807 0.579
Li 0.313 0.313 0.062
Pd 0.513 0.513 0.461
Pd 0.009 0.009 0.974
F 0.603 0.243 0.230
F 0.243 0.924 0.230
F 0.924 0.603 0.230
F 0.387 0.726 0.750
F 0.726 0.138 0.750
F 0.138 0.387 0.750

(4)
NaLiPd2F8: relaxed, PBE-GGA.

abc: 5.250 5.250 6.374
angles: 114.32 114.32 90.00
Positions (direct):
Na 0.000 0.000 0.000
Li 0.750 0.250 0.500
Pd 0.500 0.500 0.000
Pd 0.250 0.750 0.500
F 0.872 0.866 0.255
F 0.382 0.389 0.255
F 0.611 0.615 0.744
F 0.133 0.128 0.744
F 0.872 0.389 0.256
F 0.385 0.867 0.256
F 0.134 0.618 0.745
F 0.611 0.128 0.745

(5)
NaLi2PmF6: relaxed, PBE-GGA.

abc: 5.510 5.510 5.600
angles: 60.52 60.52 59.99
Positions (direct):
Na 0.797 0.797 0.610
Li 0.519 0.519 0.443
Li 0.019 0.019 0.942
Pm 0.297 0.297 0.109
F 0.657 0.249 0.230
F 0.249 0.863 0.230
F 0.863 0.657 0.230
F 0.357 0.737 0.740
F 0.737 0.166 0.740
F 0.166 0.357 0.740

(6)
NaLiPt2F: relaxed, PBE-GGA.

abc: 4.542 4.203 4.542
angles: 90.00 90.00 90.00
Positions (direct):
Na 0.000 0.500 0.000
Li 0.500 0.500 0.500
Pt 0.000 0.000 0.500
Pt 0.500 0.000 0.000
F 0.000 0.000 0.000

(7)
NaLi2PtF6: relaxed, PBE-GGA.

abc: 5.547 5.370 6.106
angles: 61.52 57.48 58.40
Positions (direct):
Na 0.805 0.814 0.561
Li 0.511 0.514 0.397
Li 0.995 0.080 0.918
Pt 0.312 0.323 0.041
F 0.641 0.222 0.228
F 0.256 0.922 0.260
F 0.902 0.551 0.282
F 0.358 0.727 0.816
F 0.722 0.112 0.790
F 0.159 0.396 0.722

(8)
NaLi2PtF8: relaxed, PBE-GGA.

abc: 4.769 4.645 6.733
angles: 89.99 89.99 90.45
Positions (direct):
Na 0.000 0.000 0.500
Li 0.500 0.500 0.742
Li 0.500 0.500 0.258
Pt 0.000 0.000 0.000
F 0.163 0.769 0.214
F 0.677 0.738 0.000
F 0.837 0.231 0.214
F 0.837 0.231 0.786
F 0.323 0.262 0.000
F 0.163 0.769 0.786
F 0.587 0.729 0.500
F 0.413 0.271 0.500

The following size of the total moment values (in μB/cell) correspond, in order, to the records above: 0.0, 1.0, 0.1, 6.0, 0.0, 0.0, 1.0, 1.1.
The following formation energy from raw total energies values (in kJ/mol of formula units) correspond, in order, to the records above: -1622.4, -2313.7, -1745.6, -1860.7, -3206.9, -70.3, -2126.1, -2366.9.
The following calculated density values (in kg/m3) correspond, in order, to the records above: 3386, 3287, 4437, 4590, 4055, 8410, 4571, 4275.